The following is a DFT calculation (GGA-PBE) of ZnCr2Hg after structural relaxation.

abc: 3.8792 3.9332 4.2611
angles: 90.00 90.00 90.00
Last column: nearest neighbours and their distance in Å.
Fractional coordinates of all 4 atoms:
Cr 0.0000 0.0000 0.0000  4 Cr 2.76, 4 Hg 2.88, 4 Zn 2.90
Cr 0.5000 0.5000 0.0000  4 Cr 2.76, 4 Zn 2.88, 4 Hg 2.90
Hg 0.5000 0.0000 0.5000  4 Zn 2.76, 8 Cr 2.88-2.90
Zn 0.0000 0.5000 0.5000  4 Hg 2.76, 8 Cr 2.88-2.90

Computed properties:
E above lowest polymorph (kcal/mol of atoms): 2.42
Total magnetization (μB/f.u.): 0.0
SG: Pmmm, No. 47
Energy relative to the elements (eV per atom): 0.354
Energy (hartree per atom): -0.178

***

The following is a DFT calculation (GGA-PBE) of Tl3RuBr7 after structural relaxation.

abc: 7.5011 7.5011 8.2590
angles: 68.03 68.03 81.65
Last column: nearest neighbours and their distance in Å.
Fractional coordinates of all 11 atoms:
Br 0.6682 0.0386 0.2396  1 Ru 2.51
Br 0.0386 0.6682 0.2396  1 Ru 2.51
Br 0.9465 0.3090 0.7817  1 Ru 2.52
Br 0.5117 0.5117 0.6048  3 Tl 3.01-3.06
Br 0.1488 0.1488 0.1454  1 Ru 2.51
Br 0.3090 0.9465 0.7817  1 Ru 2.52
Br 0.8256 0.8256 0.8929  1 Ru 2.53
Tl 0.4848 0.4848 0.9924  2 Br 3.06-3.37
Tl 0.7684 0.1834 0.5280  4 Br 3.01-3.32
Tl 0.1834 0.7684 0.5280  4 Br 3.01-3.32
Ru 0.9899 0.9899 0.0159  6 Br 2.51-2.53

Computed properties:
Total magnetization (μB/f.u.): 2.0
SG: Cm, No. 8
Formation energy (no corrections) (eV/atom): -0.553
Energy (hartree per atom): -0.114

***

The following is a DFT calculation (GGA-PBE) of HfTe2RuN after structural relaxation.

abc: 5.6524 5.6524 3.8929
angles: 90.00 90.00 90.00
Last column: nearest neighbours and their distance in Å.
Fractional coordinates of all 5 atoms:
Te 0.5000 0.0000 0.0000  2 Hf 2.83
Te 0.0000 0.5000 0.0000  2 Hf 2.83
Hf 0.0000 0.0000 0.0000  2 N 1.95
Ru 0.5000 0.5000 0.5000  8 Te 3.43
N 0.0000 0.0000 0.5000  2 Hf 1.95

Computed properties:
E above lowest polymorph (kcal/mol of atoms): 9.36
Total magnetization (μB/f.u.): 2.0
SG: P4/mmm, No. 123
Formation energy (no corrections) (eV/atom): 0.658
Energy (hartree per atom): -0.225

***

The following is a DFT calculation (GGA-PBE) of YTe after structural relaxation.

abc: 11.7630 11.7630 4.4804
angles: 90.00 90.00 90.00
Last column: nearest neighbours and their distance in Å.
Fractional coordinates of all 16 atoms:
Y 0.8842 0.3453 0.5000  4 Te 2.99-3.08
Y 0.6547 0.8842 0.5000  4 Te 2.99-3.08
Y 0.3842 0.8453 0.0000  4 Te 2.99-3.08
Y 0.1547 0.3842 0.0000  4 Te 2.99-3.08
Y 0.8453 0.6158 0.0000  4 Te 2.99-3.08
Y 0.6158 0.1547 0.0000  4 Te 2.99-3.08
Y 0.1158 0.6547 0.5000  4 Te 2.99-3.08
Y 0.3453 0.1158 0.5000  4 Te 2.99-3.08
Te 0.7811 0.1050 0.5000  4 Y 2.99-3.08
Te 0.2189 0.8950 0.5000  4 Y 2.99-3.08
Te 0.6050 0.7189 0.0000  4 Y 2.99-3.08
Te 0.1050 0.2189 0.5000  4 Y 2.99-3.08
Te 0.7189 0.3950 0.0000  4 Y 2.99-3.08
Te 0.3950 0.2811 0.0000  4 Y 2.99-3.08
Te 0.2811 0.6050 0.0000  4 Y 2.99-3.08
Te 0.8950 0.7811 0.5000  4 Y 2.99-3.08

Computed properties:
Total magnetization (μB/f.u.): 0.0
SG: I4/m, No. 87
Formation energy (no corrections) (eV/atom): -1.034
Energy (hartree per atom): -0.214

***

The following is a DFT calculation (GGA-PBE) of Tm2MoRu3 after structural relaxation.

abc: 5.4986 5.4986 8.2336
angles: 90.00 90.00 120.00
Last column: nearest neighbours and their distance in Å.
Fractional coordinates of all 12 atoms:
Ru 0.1724 0.8276 0.2500  2 Mo 2.63, 4 Ru 2.66-2.84
Ru 0.8276 0.1724 0.7500  2 Mo 2.63, 4 Ru 2.66-2.84
Ru 0.6553 0.8276 0.2500  2 Mo 2.63, 4 Ru 2.66-2.84
Ru 0.3447 0.1724 0.7500  2 Mo 2.63, 4 Ru 2.66-2.84
Ru 0.8276 0.6553 0.7500  2 Mo 2.63, 4 Ru 2.66-2.84
Ru 0.1724 0.3447 0.2500  2 Mo 2.63, 4 Ru 2.66-2.84
Tm 0.6667 0.3333 0.4382  9 Ru 2.99-3.16, 4 Tm 3.10-3.33, 3 Mo 3.22
Tm 0.3333 0.6667 0.9382  9 Ru 2.99-3.16, 4 Tm 3.10-3.33, 3 Mo 3.22
Tm 0.6667 0.3333 0.0618  9 Ru 2.99-3.16, 4 Tm 3.10-3.33, 3 Mo 3.22
Tm 0.3333 0.6667 0.5618  9 Ru 2.99-3.16, 4 Tm 3.10-3.33, 3 Mo 3.22
Mo 0.0000 0.0000 0.5000  6 Ru 2.63
Mo 0.0000 0.0000 0.0000  6 Ru 2.63

Computed properties:
Total magnetization (μB/f.u.): 0.0
SG: P6_3/mmc, No. 194
Energy relative to the elements (eV per atom): -0.341
Energy (hartree per atom): -0.304